# 1
Here is a geometry-optimized YMn2Be structure from Alexandria via LeMat-Bulk. Energies are from PBE.

abc: 5.234 5.234 5.234
angles: 145.25 126.52 65.37
Fractional positions:
Y  0.750  0.250  0.500
Be  0.250  0.750  0.500
Mn  0.041  0.041  0.000
Mn  0.459  0.459  0.000

Total moment = 6.17 Bohr magnetons per cell
Crystal system = orthorhombic
Formation energy from the elements = 0.318 eV per atom


# 2
Here is a geometry-optimized YMn2Be structure from Alexandria via LeMat-Bulk. Energies are from PBE.

abc: 3.021 3.021 6.594
angles: 90.00 90.00 90.00
Fractional positions:
Y  0.000  0.000  0.504
Be  0.500  0.500  0.820
Mn  0.000  0.000  0.991
Mn  0.500  0.500  0.185

Total moment = 0.55 Bohr magnetons per cell
Crystal system = tetragonal
Formation energy from the elements = 0.155 eV per atom


# 3
Here is a geometry-optimized Y3MnBe structure from Alexandria via LeMat-Bulk. Energies are from PBE.

abc: 5.089 5.089 5.089
angles: 90.00 90.00 90.00
Fractional positions:
Y  0.000  0.500  0.000
Y  0.000  0.000  0.500
Y  0.500  0.000  0.000
Be  0.500  0.500  0.500
Mn  0.000  0.000  0.000

Total moment = 0.00 Bohr magnetons per cell
Crystal system = cubic
Formation energy from the elements = 0.604 eV per atom


# 4
Here is a geometry-optimized Y2MnBe structure from Alexandria via LeMat-Bulk. Energies are from PBE.

abc: 4.928 4.928 3.485
angles: 90.00 90.00 90.04
Fractional positions:
Y  0.000  0.000  0.000
Y  0.500  0.500  0.000
Be  0.500  0.000  0.500
Mn  0.000  0.500  0.500

Total moment = 3.04 Bohr magnetons per cell
Crystal system = tetragonal
Formation energy from the elements = 0.189 eV per atom


# 5
Here is a geometry-optimized YMn4Be structure from Alexandria via LeMat-Bulk. Energies are from PBE.

abc: 4.847 4.847 4.847
angles: 60.00 60.00 60.00
Fractional positions:
Y  0.750  0.750  0.750
Mn  0.880  0.373  0.373
Mn  0.373  0.373  0.880
Mn  0.373  0.880  0.373
Mn  0.373  0.373  0.373
Be  0.000  0.000  0.000

Total moment = 0.00 Bohr magnetons per cell
Crystal system = cubic
Formation energy from the elements = 0.289 eV per atom


# 6
Here is a geometry-optimized YMn2Be structure from Alexandria via LeMat-Bulk. Energies are from PBE.

abc: 3.914 3.080 5.219
angles: 76.98 90.00 90.00
Fractional positions:
Y  0.500  0.250  0.250
Be  0.500  0.750  0.750
Mn  0.000  0.933  0.915
Mn  0.000  0.567  0.585

Total moment = 2.76 Bohr magnetons per cell
Crystal system = monoclinic
Formation energy from the elements = 0.367 eV per atom


# 7
Here is a geometry-optimized Y4MnBe structure from Alexandria via LeMat-Bulk. Energies are from PBE.

abc: 6.179 6.179 6.179
angles: 60.00 60.00 60.00
Fractional positions:
Y  0.875  0.375  0.375
Y  0.375  0.375  0.875
Y  0.375  0.875  0.375
Y  0.375  0.375  0.375
Mn  0.000  0.000  0.000
Be  0.750  0.750  0.750

Total moment = 4.10 Bohr magnetons per cell
Crystal system = cubic
Formation energy from the elements = 0.905 eV per atom


# 8
Here is a geometry-optimized Y2MnBe structure from Alexandria via LeMat-Bulk. Energies are from PBE.

abc: 3.269 3.269 7.842
angles: 90.00 90.00 89.98
Fractional positions:
Y  0.000  0.000  0.934
Y  0.500  0.500  0.319
Be  0.000  0.000  0.567
Mn  0.500  0.500  0.680

Total moment = 2.30 Bohr magnetons per cell
Crystal system = tetragonal
Formation energy from the elements = 0.178 eV per atom


# 9
Here is a geometry-optimized Y2MnBe structure from Alexandria via LeMat-Bulk. Energies are from PBE.

abc: 4.008 3.982 5.760
angles: 69.76 90.00 90.00
Fractional positions:
Y  0.000  0.983  0.909
Y  0.500  0.268  0.339
Be  0.000  0.679  0.516
Mn  0.500  0.570  0.736

Total moment = 1.62 Bohr magnetons per cell
Crystal system = orthorhombic
Formation energy from the elements = 0.076 eV per atom


# 10
Here is a geometry-optimized YMn2Be structure from Alexandria via LeMat-Bulk. Energies are from PBE.

abc: 5.252 5.252 2.948
angles: 75.71 75.71 116.78
Fractional positions:
Y  0.500  0.000  0.500
Be  0.000  0.500  0.500
Mn  0.000  0.000  0.000
Mn  0.500  0.500  0.000

Total moment = 5.50 Bohr magnetons per cell
Crystal system = monoclinic
Formation energy from the elements = 0.575 eV per atom


# 11
Here is a geometry-optimized YMn2Be structure from Alexandria via LeMat-Bulk. Energies are from PBE.

abc: 3.879 3.879 5.405
angles: 69.47 69.47 59.80
Fractional positions:
Y  0.250  0.250  0.250
Be  0.750  0.750  0.750
Mn  0.066  0.066  0.801
Mn  0.434  0.434  0.699

Total moment = 0.00 Bohr magnetons per cell
Crystal system = monoclinic
Formation energy from the elements = 0.036 eV per atom


# 12
Here is a geometry-optimized Y2MnBe structure from Alexandria via LeMat-Bulk. Energies are from PBE.

abc: 4.462 4.462 10.092
angles: 77.23 77.23 90.00
Fractional positions:
Y  0.620  0.125  0.250
Y  0.130  0.625  0.250
Y  0.375  0.380  0.750
Y  0.875  0.870  0.750
Be  0.500  0.500  0.000
Be  0.250  0.750  0.500
Mn  0.000  0.000  0.000
Mn  0.750  0.250  0.500

Total moment = 6.50 Bohr magnetons per cell
Crystal system = tetragonal
Formation energy from the elements = 0.860 eV per atom


# 13
Here is a geometry-optimized YMn2Be structure from Alexandria via LeMat-Bulk. Energies are from PBE.

abc: 4.850 4.850 4.850
angles: 131.04 131.04 71.75
Fractional positions:
Y  0.250  0.750  0.500
Be  0.750  0.250  0.500
Mn  0.000  0.000  0.000
Mn  0.500  0.500  0.000

Total moment = 5.53 Bohr magnetons per cell
Crystal system = tetragonal
Formation energy from the elements = 0.385 eV per atom


# 14
Here is a geometry-optimized YMn2Be2 structure from Alexandria via LeMat-Bulk. Energies are from PBE.

abc: 4.053 4.053 5.041
angles: 66.30 66.30 90.00
Fractional positions:
Y  0.000  0.000  0.000
Be  0.750  0.250  0.500
Be  0.250  0.750  0.500
Mn  0.374  0.374  0.252
Mn  0.626  0.626  0.748

Total moment = 0.16 Bohr magnetons per cell
Relative energy among the computed polymorphs = 131 meV/atom
Crystal system = tetragonal
Formation energy from the elements = 0.185 eV per atom


# 15
Here is a geometry-optimized Y2MnBe structure from Alexandria via LeMat-Bulk. Energies are from PBE.

abc: 8.926 8.926 8.926
angles: 22.61 22.61 22.61
Fractional positions:
Y  0.995  0.995  0.995
Y  0.505  0.505  0.505
Be  0.250  0.250  0.250
Mn  0.750  0.750  0.750

Total moment = 3.11 Bohr magnetons per cell
Crystal system = trigonal
Formation energy from the elements = 0.448 eV per atom


# 16
Here is a geometry-optimized YMn2Be2 structure from Alexandria via LeMat-Bulk. Energies are from PBE.

abc: 6.470 6.470 3.062
angles: 90.00 90.00 90.00
Fractional positions:
Y  0.000  0.000  0.000
Y  0.500  0.500  0.000
Be  0.389  0.889  0.000
Be  0.889  0.611  0.000
Be  0.611  0.111  0.000
Be  0.111  0.389  0.000
Mn  0.161  0.661  0.500
Mn  0.661  0.839  0.500
Mn  0.839  0.339  0.500
Mn  0.339  0.161  0.500

Total moment = 0.00 Bohr magnetons per cell
Relative energy among the computed polymorphs = 276 meV/atom
Crystal system = tetragonal
Formation energy from the elements = 0.330 eV per atom


# 17
Here is a geometry-optimized YMn2Be2 structure from Alexandria via LeMat-Bulk. Energies are from PBE.

abc: 5.986 5.986 5.986
angles: 146.27 146.27 48.44
Fractional positions:
Y  0.000  0.000  0.000
Mn  0.250  0.750  0.500
Mn  0.750  0.250  0.500
Be  0.612  0.612  0.000
Be  0.388  0.388  0.000

Total moment = 0.34 Bohr magnetons per cell
Relative energy among the computed polymorphs = 0 meV/atom
Crystal system = tetragonal
Formation energy from the elements = 0.055 eV per atom


# 18
Here is a geometry-optimized YMn2Be structure from Alexandria via LeMat-Bulk. Energies are from PBE.

abc: 3.799 3.141 5.645
angles: 74.25 90.00 90.00
Fractional positions:
Y  0.000  0.531  0.554
Be  0.500  0.912  0.798
Mn  0.000  0.799  0.033
Mn  0.500  0.257  0.114

Total moment = 0.02 Bohr magnetons per cell
Crystal system = monoclinic
Formation energy from the elements = 0.238 eV per atom


# 19
Here is a geometry-optimized YMn2Be structure from Alexandria via LeMat-Bulk. Energies are from PBE.

abc: 4.163 4.163 8.665
angles: 76.10 76.10 90.00
Fractional positions:
Y  0.000  0.000  0.000
Y  0.750  0.250  0.500
Be  0.500  0.500  0.000
Be  0.250  0.750  0.500
Mn  0.375  0.125  0.250
Mn  0.375  0.625  0.250
Mn  0.375  0.625  0.750
Mn  0.875  0.625  0.750

Total moment = 5.74 Bohr magnetons per cell
Crystal system = tetragonal
Formation energy from the elements = 0.447 eV per atom


# 20
Here is a geometry-optimized Y2MnBe structure from Alexandria via LeMat-Bulk. Energies are from PBE.

abc: 4.828 4.828 4.828
angles: 60.00 60.00 60.00
Fractional positions:
Y  0.000  0.000  0.000
Y  0.250  0.250  0.250
Be  0.500  0.500  0.500
Mn  0.750  0.750  0.750

Total moment = 2.81 Bohr magnetons per cell
Crystal system = cubic
Formation energy from the elements = 0.423 eV per atom


# 21
Here is a geometry-optimized Y2MnBe structure from Alexandria via LeMat-Bulk. Energies are from PBE.

abc: 5.520 5.520 5.520
angles: 134.97 134.97 65.58
Fractional positions:
Y  0.000  0.000  0.000
Y  0.250  0.750  0.500
Be  0.500  0.500  0.000
Mn  0.750  0.250  0.500

Total moment = 2.29 Bohr magnetons per cell
Crystal system = tetragonal
Formation energy from the elements = 0.353 eV per atom


# 22
Here is a geometry-optimized YMn2Be structure from Alexandria via LeMat-Bulk. Energies are from PBE.

abc: 4.908 4.908 4.908
angles: 132.59 132.59 69.30
Fractional positions:
Y  0.500  0.500  0.000
Be  0.750  0.250  0.500
Mn  0.000  0.000  0.000
Mn  0.250  0.750  0.500

Total moment = 5.51 Bohr magnetons per cell
Crystal system = tetragonal
Formation energy from the elements = 0.347 eV per atom


# 23
Here is a geometry-optimized YMn2Be structure from Alexandria via LeMat-Bulk. Energies are from PBE.

abc: 8.328 8.328 8.328
angles: 21.21 21.21 21.21
Fractional positions:
Y  0.493  0.493  0.493
Be  0.736  0.736  0.736
Mn  0.006  0.006  0.006
Mn  0.265  0.265  0.265

Total moment = 0.50 Bohr magnetons per cell
Crystal system = trigonal
Formation energy from the elements = 0.551 eV per atom


# 24
Here is a geometry-optimized YMn2Be structure from Alexandria via LeMat-Bulk. Energies are from PBE.

abc: 3.099 3.099 6.030
angles: 90.00 90.00 90.00
Fractional positions:
Y  0.500  0.500  0.250
Be  0.500  0.500  0.750
Mn  0.000  0.000  0.913
Mn  0.000  0.000  0.587

Total moment = 0.39 Bohr magnetons per cell
Crystal system = tetragonal
Formation energy from the elements = 0.223 eV per atom


# 25
Here is a geometry-optimized YMn2Be structure from Alexandria via LeMat-Bulk. Energies are from PBE.

abc: 3.833 3.833 5.404
angles: 69.24 69.24 59.99
Fractional positions:
Y  0.503  0.503  0.493
Be  0.694  0.694  0.918
Mn  0.995  0.995  0.014
Mn  0.308  0.308  0.075

Total moment = 0.00 Bohr magnetons per cell
Crystal system = trigonal
Formation energy from the elements = -0.061 eV per atom


# 26
Here is a geometry-optimized Y2MnBe structure from Alexandria via LeMat-Bulk. Energies are from PBE.

abc: 5.952 5.952 4.738
angles: 66.61 66.61 32.98
Fractional positions:
Y  0.987  0.987  0.014
Y  0.777  0.777  0.722
Be  0.538  0.538  0.463
Mn  0.198  0.198  0.301

Total moment = 2.63 Bohr magnetons per cell
Crystal system = monoclinic
Formation energy from the elements = 0.158 eV per atom


# 27
Here is a geometry-optimized Mn2BeZn structure from Alexandria via LeMat-Bulk. Energies are from PBE.

abc: 4.665 4.665 3.950
angles: 65.02 65.02 35.34
Fractional positions:
Be  0.250  0.250  0.250
Zn  0.750  0.750  0.750
Mn  0.982  0.982  0.018
Mn  0.518  0.518  0.482

Total moment = 3.25 Bohr magnetons per cell
Relative energy among the computed polymorphs = 144 meV/atom
Crystal system = orthorhombic
Formation energy from the elements = 0.117 eV per atom


# 28
Here is a geometry-optimized Mn2BeZn structure from Alexandria via LeMat-Bulk. Energies are from PBE.

abc: 2.784 2.784 6.624
angles: 65.24 90.00 90.00
Fractional positions:
Be  0.500  0.750  0.750
Zn  0.500  0.250  0.250
Mn  0.000  0.027  0.973
Mn  0.000  0.473  0.527

Total moment = 5.37 Bohr magnetons per cell
Relative energy among the computed polymorphs = 45 meV/atom
Crystal system = monoclinic
Formation energy from the elements = 0.019 eV per atom


# 29
Here is a geometry-optimized MnBeZn structure from Alexandria via LeMat-Bulk. Energies are from PBE.

abc: 2.531 2.531 6.160
angles: 90.00 90.00 120.00
Fractional positions:
Be  0.000  0.000  0.016
Zn  0.333  0.667  0.671
Mn  0.667  0.333  0.313

Total moment = 1.37 Bohr magnetons per cell
Relative energy among the computed polymorphs = 159 meV/atom
Crystal system = trigonal
Formation energy from the elements = 0.188 eV per atom


# 30
Here is a geometry-optimized Mn2BeZn structure from Alexandria via LeMat-Bulk. Energies are from PBE.

abc: 4.000 4.000 4.000
angles: 120.01 120.01 89.99
Fractional positions:
Be  0.750  0.250  0.500
Zn  0.500  0.500  0.000
Mn  0.000  0.000  0.000
Mn  0.250  0.750  0.500

Total moment = 0.00 Bohr magnetons per cell
Relative energy among the computed polymorphs = 37 meV/atom
Crystal system = cubic
Formation energy from the elements = 0.010 eV per atom